No. 1
DFT (PBE) results for a geometry-optimized Zn2TcMo structure.

The calculation puts the formation energy at 0.9 eV per formula unit. The calculation puts the total energy at -22.82 eV/cell. The space group is R-3m (166). For the density of states at the Fermi level, the calculation gives 4.3 states/eV/cell.

Cell: 9.155 9.155 9.155 Å, 17.36 17.36 17.36°
Positions (direct):
1 Zn 0.249 0.249 0.249
2 Zn 0.751 0.751 0.751
3 Tc 0.500 0.500 0.500
4 Mo 0.000 0.000 0.000

No. 2
DFT (PBE) results for a geometry-optimized Si4S structure.

The calculation puts the total energy at -20.76 eV/cell. The space group is Pm-3m (221). For the density of states at the Fermi level, the calculation gives 1.9 states/eV/cell. The value obtained for the formation energy (no corrections) is 1.01 eV/atom.

Cell: 4.557 4.557 4.557 Å, 90.00 90.00 90.00°
Positions (direct):
1 Si 0.000 0.000 0.000
2 Si 0.000 0.500 0.500
3 Si 0.500 0.000 0.500
4 Si 0.500 0.500 0.000
5 S 0.500 0.500 0.500

No. 3
DFT (PBE) results for a geometry-optimized SiP3 structure.

The calculation puts the total energy at -19.16 eV/cell. The space group is P4/mmm (123). For the density of states at the Fermi level, the calculation gives 1.3 states/eV/cell. The value obtained for the formation energy (no corrections) is 0.62 eV/atom.

Cell: 4.307 4.307 3.050 Å, 90.00 90.00 90.00°
Positions (direct):
1 Si 0.000 0.000 0.000
2 P 0.000 0.500 0.500
3 P 0.500 0.000 0.500
4 P 0.500 0.500 0.000

No. 4
DFT (PBE) results for a geometry-optimized Er3Al3Cu8 structure.

The calculation puts the formation energy at -4.4 eV per formula unit. The calculation puts the total energy at -62.07 eV/cell. The space group is Immm (71). For the density of states at the Fermi level, the calculation gives 7.5 states/eV/cell.

Cell: 7.920 7.920 7.920 Å, 149.32 113.32 75.18°
Positions (direct):
1 Er 0.000 0.000 0.000
2 Er 0.293 0.293 0.000
3 Er 0.707 0.707 0.000
4 Al 0.294 0.500 0.794
5 Al 0.500 0.000 0.500
6 Al 0.706 0.500 0.206
7 Cu 0.023 0.668 0.356
8 Cu 0.156 0.870 0.286
9 Cu 0.312 0.668 0.644
10 Cu 0.415 0.130 0.286
11 Cu 0.585 0.870 0.714
12 Cu 0.688 0.332 0.356
13 Cu 0.844 0.130 0.714
14 Cu 0.977 0.332 0.644

No. 5
DFT (PBE) results for a geometry-optimized AcLaPrDy structure.

The calculation puts the formation energy at 0.5 eV per formula unit. The calculation puts the total energy at -17.95 eV/cell. The space group is F-43m (216). For the density of states at the Fermi level, the calculation gives 8.7 states/eV/cell.

Cell: 5.971 5.971 5.971 Å, 60.00 60.00 60.00°
Positions (direct):
1 Ac 0.000 0.000 0.000
2 La 0.500 0.500 0.500
3 Pr 0.250 0.250 0.250
4 Dy 0.750 0.750 0.750

No. 6
DFT (PBE) results for a geometry-optimized YLuTe3 structure.

The calculation puts the total energy at -25.84 eV/cell. The space group is Amm2 (38). For the density of states at the Fermi level, the calculation gives 0.0 states/eV/cell. The value obtained for the formation energy (no corrections) is -1.09 eV/atom.

Cell: 4.495 8.161 8.161 Å, 63.48 90.00 90.00°
Positions (direct):
1 Y 0.000 0.000 0.000
2 Lu 0.500 0.654 0.654
3 Te 0.000 0.783 0.783
4 Te 0.500 0.263 0.793
5 Te 0.500 0.793 0.263

No. 7
DFT (PBE) results for a geometry-optimized ReNiW2 structure.

The calculation puts the formation energy at 0.5 eV per formula unit. The calculation puts the total energy at -43.64 eV/cell. The space group is Cmmm (65). For the density of states at the Fermi level, the calculation gives 3.1 states/eV/cell.

Cell: 2.699 2.699 8.429 Å, 90.00 90.00 106.94°
Positions (direct):
1 Re 0.000 0.000 0.000
2 Ni 0.000 0.000 0.500
3 W 0.500 0.500 0.263
4 W 0.500 0.500 0.737

No. 8
DFT (PBE) results for a geometry-optimized AlCu2P structure.

The calculation puts the formation energy at 0.1 eV per formula unit. The calculation puts the total energy at -17.26 eV/cell. The space group is P4/mmm (123). For the density of states at the Fermi level, the calculation gives 1.3 states/eV/cell.

Cell: 3.312 3.312 4.948 Å, 90.00 90.00 90.00°
Positions (direct):
1 Al 0.000 0.000 0.000
2 Cu 0.500 0.500 0.251
3 Cu 0.500 0.500 0.749
4 P 0.000 0.000 0.500